Entry 1:
Density functional theory data (PBE) for a relaxed structure of LiCd8In3.

Geometry as CIF:
```
data_LiCd8In3
_chemical_formula_sum 'Li2 Cd16 In6'
_cell_length_a 7.819
_cell_length_b 7.819
_cell_length_c 10.335
_cell_angle_alpha 90.00
_cell_angle_beta 90.00
_cell_angle_gamma 90.00
_symmetry_space_group_name_H-M 'I -4 2 m'
_symmetry_Int_Tables_number 121
_symmetry_space_group_name_Hall 'I -4 2'
loop_
_atom_site_label
_atom_site_type_symbol
_atom_site_fract_x
_atom_site_fract_y
_atom_site_fract_z
Li1 Li 0.000 0.000 0.000
Cd1 Cd 0.133 0.133 0.217
Cd2 Cd 0.234 0.234 0.955
In1 In 0.000 0.000 0.500
In2 In 0.000 0.500 0.250
```

volume = 316 Å³/f.u.
crystal system = tetragonal
DFT total energy = -32.63 eV/cell

---

Entry 2:
Density functional theory data (PBE) for a relaxed structure of PaTi2In.

Geometry as CIF:
```
data_PaTi2In
_chemical_formula_sum 'Pa1 Ti2 In1'
_cell_length_a 3.458
_cell_length_b 3.458
_cell_length_c 6.667
_cell_angle_alpha 90.00
_cell_angle_beta 90.00
_cell_angle_gamma 90.00
_symmetry_space_group_name_H-M 'P 4/m m m'
_symmetry_Int_Tables_number 123
_symmetry_space_group_name_Hall '-P 4 2'
loop_
_atom_site_label
_atom_site_type_symbol
_atom_site_fract_x
_atom_site_fract_y
_atom_site_fract_z
Pa1 Pa 0.000 0.000 0.000
Ti1 Ti 0.500 0.500 0.230
In1 In 0.000 0.000 0.500
```

volume = 80 Å³/f.u.
offset from the most stable computed form = 0.14 eV/f.u.
crystal system = tetragonal
DFT total energy = -28.12 eV/cell

---

Number 1: DFT formation energy 1.1 eV/f.u.. Number 2: DFT formation energy -0.1 eV/f.u..